Below is Pr4PtSBr2 after structural relaxation, with properties calculated at the PBE level.

Unit cell a=4.119 b=7.423 c=7.829 alpha=107.70 beta=90.00 gamma=90.00
Positions (direct):
Pr 0.000 0.273 0.791
Pr 0.500 0.229 0.209
Pr 0.000 0.727 0.209
Pr 0.500 0.771 0.791
Pt 0.000 0.000 0.000
Br 0.000 0.500 0.500
Br 0.500 0.000 0.500
S 0.500 0.500 0.000

Properties
The space-group type is P2/m, No. 10. As for the crystal system: monoclinic. The energy relative to the elements, uncorrected is -1405 meV per atom.